# KSbW4 PBE-GGA relaxed
# Uncorrected formation energy = 1.1660 eV per atom
# Volume = 19.87 Å³ per atom
data_KSbW4
_space_group_name_H-M_alt 'F -4 3 m'
_space_group_IT_number 216
_space_group_name_Hall 'F -4 2 3'
_cell_length_a 7.813
_cell_length_b 7.813
_cell_length_c 7.813
_cell_angle_alpha 90.00
_cell_angle_beta 90.00
_cell_angle_gamma 90.00
loop_
_atom_site_label
_atom_site_type_symbol
_atom_site_fract_x
_atom_site_fract_y
_atom_site_fract_z
K1 K 0.000 0.000 0.000
Sb1 Sb 0.250 0.250 0.750
W1 W 0.128 0.128 0.372

=====

# KSb3W PBE-GGA relaxed
# Uncorrected formation energy = 2.5263 eV per atom
# Relative energy among the computed polymorphs = 2215.8 meV/atom
# Volume = 33.05 Å³ per atom
data_KSb3W
_space_group_name_H-M_alt 'P m -3 m'
_space_group_IT_number 221
_space_group_name_Hall '-P 4 2 3'
_cell_length_a 5.488
_cell_length_b 5.488
_cell_length_c 5.488
_cell_angle_alpha 90.00
_cell_angle_beta 90.00
_cell_angle_gamma 90.00
loop_
_atom_site_label
_atom_site_type_symbol
_atom_site_fract_x
_atom_site_fract_y
_atom_site_fract_z
K1 K 0.000 0.000 0.000
Sb1 Sb 0.000 0.000 0.500
W1 W 0.500 0.500 0.500

=====

# KSb2W PBE-GGA relaxed
# Uncorrected formation energy = 0.6799 eV per atom
# Relative energy among the computed polymorphs = 583.3 meV/atom
# Volume = 23.48 Å³ per atom
data_KSb2W
_space_group_name_H-M_alt 'F m -3 m'
_space_group_IT_number 225
_space_group_name_Hall '-F 4 2 3'
_cell_length_a 7.216
_cell_length_b 7.216
_cell_length_c 7.216
_cell_angle_alpha 90.00
_cell_angle_beta 90.00
_cell_angle_gamma 90.00
loop_
_atom_site_label
_atom_site_type_symbol
_atom_site_fract_x
_atom_site_fract_y
_atom_site_fract_z
K1 K 0.000 0.000 0.000
Sb1 Sb 0.250 0.250 0.250
W1 W 0.000 0.000 0.500

=====

# K3SbW PBE-GGA relaxed
# Uncorrected formation energy = 1.2648 eV per atom
# Relative energy among the computed polymorphs = 0.0 meV/atom
# Volume = 59.00 Å³ per atom
data_K3SbW
_space_group_name_H-M_alt 'P m -3 m'
_space_group_IT_number 221
_space_group_name_Hall '-P 4 2 3'
_cell_length_a 6.657
_cell_length_b 6.657
_cell_length_c 6.657
_cell_angle_alpha 90.00
_cell_angle_beta 90.00
_cell_angle_gamma 90.00
loop_
_atom_site_label
_atom_site_type_symbol
_atom_site_fract_x
_atom_site_fract_y
_atom_site_fract_z
K1 K 0.000 0.000 0.500
Sb1 Sb 0.000 0.000 0.000
W1 W 0.500 0.500 0.500

=====

# KSbW PBE-GGA relaxed
# Uncorrected formation energy = 1.1662 eV per atom
# Relative energy among the computed polymorphs = 340.1 meV/atom
# Volume = 23.61 Å³ per atom
data_KSbW
_space_group_name_H-M_alt 'P -6 m 2'
_space_group_IT_number 187
_space_group_name_Hall 'P -6 2'
_cell_length_a 5.2740
_cell_length_b 5.2740
_cell_length_c 2.9404
_cell_angle_alpha 90.00
_cell_angle_beta 90.00
_cell_angle_gamma 120.00
loop_
_atom_site_label
_atom_site_type_symbol
_atom_site_fract_x
_atom_site_fract_y
_atom_site_fract_z
K1 K 0.0000 0.0000 0.0000
Sb1 Sb 0.6667 0.3333 0.5000
W1 W 0.3333 0.6667 0.5000

=====

# KSb2W2 PBE-GGA relaxed
# Uncorrected formation energy = 0.5208 eV per atom
# Relative energy among the computed polymorphs = 0.0 meV/atom
# Volume = 25.11 Å³ per atom
data_KSb2W2
_space_group_name_H-M_alt 'I 4/m m m'
_space_group_IT_number 139
_space_group_name_Hall '-I 4 2'
_cell_length_a 5.194
_cell_length_b 5.194
_cell_length_c 9.310
_cell_angle_alpha 90.00
_cell_angle_beta 90.00
_cell_angle_gamma 90.00
loop_
_atom_site_label
_atom_site_type_symbol
_atom_site_fract_x
_atom_site_fract_y
_atom_site_fract_z
K1 K 0.000 0.000 0.000
Sb1 Sb 0.000 0.500 0.250
W1 W 0.000 0.000 0.377

=====

# KSb2W PBE-GGA relaxed
# Uncorrected formation energy = 0.6820 eV per atom
# Relative energy among the computed polymorphs = 585.5 meV/atom
# Volume = 24.77 Å³ per atom
data_KSb2W
_space_group_name_H-M_alt 'P m m 2'
_space_group_IT_number 25
_space_group_name_Hall 'P 2 -2'
_cell_length_a 3.026
_cell_length_b 5.681
_cell_length_c 5.764
_cell_angle_alpha 90.00
_cell_angle_beta 90.00
_cell_angle_gamma 90.00
loop_
_atom_site_label
_atom_site_type_symbol
_atom_site_fract_x
_atom_site_fract_y
_atom_site_fract_z
K1 K 0.000 0.000 0.000
Sb1 Sb 0.500 0.000 0.490
Sb2 Sb 0.500 0.500 0.893
W1 W 0.500 0.500 0.369

=====

# KSbW3 PBE-GGA relaxed
# Uncorrected formation energy = 2.6263 eV per atom
# Volume = 25.82 Å³ per atom
data_KSbW3
_space_group_name_H-M_alt 'P m -3 m'
_space_group_IT_number 221
_space_group_name_Hall '-P 4 2 3'
_cell_length_a 5.054
_cell_length_b 5.054
_cell_length_c 5.054
_cell_angle_alpha 90.00
_cell_angle_beta 90.00
_cell_angle_gamma 90.00
loop_
_atom_site_label
_atom_site_type_symbol
_atom_site_fract_x
_atom_site_fract_y
_atom_site_fract_z
K1 K 0.000 0.000 0.000
Sb1 Sb 0.500 0.500 0.500
W1 W 0.000 0.500 0.500